(1)
LiTa2Co: relaxed, GGA-PBEsol.

a b c (Å): 3.2820 4.3439 4.9020
angles (deg): 116.30 109.56 90.00
Last column: nearest neighbours and their distance in Å.
Fractional coordinates of all 4 atoms:
Co (0.0000, 0.5000, 0.0000)  4 Ta 2.49, 4 Li 2.72
Li (0.5000, 0.0000, 0.0000)  4 Co 2.72, 8 Ta 2.75-2.86
Ta (0.7289, 0.7289, 0.4579)  2 Co 2.49, 4 Ta 2.74, 2 Li 2.75
Ta (0.2711, 0.2711, 0.5421)  2 Co 2.49, 4 Ta 2.74, 2 Li 2.75

Summary:
Excess energy over the best structure of this formula in the dataset in meV per atom: 22
Total moment in μB/f.u.: 0.001
Formation enthalpy at 0 K in eV/atom: 0.2486



(2)
LiTaCo4: relaxed, GGA-PBEsol.

a b c (Å): 4.6007 4.6007 4.6007
angles (deg): 60.00 60.00 60.00
Last column: nearest neighbours and their distance in Å.
Fractional coordinates of all 6 atoms:
Li (0.7500, 0.7500, 0.7500)  12 Co 2.70, 4 Ta 2.82
Co (0.3755, 0.3755, 0.3755)  6 Co 2.29-2.31
Co (0.3755, 0.3755, 0.8734)  6 Co 2.29-2.31
Co (0.8734, 0.3755, 0.3755)  6 Co 2.29-2.31
Co (0.3755, 0.8734, 0.3755)  6 Co 2.29-2.31
Ta (0.0000, 0.0000, 0.0000)  12 Co 2.70, 4 Li 2.82

Summary:
Total moment in μB/f.u.: 0.283
Formation enthalpy at 0 K in eV/atom: -0.0876



(3)
LiTa2Co: relaxed, GGA-PBEsol.

a b c (Å): 2.7394 3.7099 5.5914
angles (deg): 90.00 90.00 90.00
Last column: nearest neighbours and their distance in Å.
Fractional coordinates of all 4 atoms:
Co (0.5000, 0.5000, 0.0000)  8 Ta 2.66, 2 Co 2.74, 2 Li 2.80
Li (0.5000, 0.5000, 0.5000)  8 Ta 2.73, 2 Li 2.74, 2 Co 2.80
Ta (0.0000, 0.0000, 0.7619)  4 Co 2.66, 4 Ta 2.66-2.93, 4 Li 2.73
Ta (0.0000, 0.0000, 0.2381)  4 Co 2.66, 4 Ta 2.66-2.93, 4 Li 2.73

Summary:
Excess energy over the best structure of this formula in the dataset in meV per atom: 15
Total moment in μB/f.u.: 0.000
Formation enthalpy at 0 K in eV/atom: 0.2419



(4)
LiCo2Tc: relaxed, GGA-PBEsol.

a b c (Å): 3.9583 3.9583 3.9583
angles (deg): 60.00 60.00 60.00
Last column: nearest neighbours and their distance in Å.
Fractional coordinates of all 4 atoms:
Co (0.0000, 0.0000, 0.0000)  4 Tc 2.42, 4 Co 2.42
Co (0.7500, 0.7500, 0.7500)  4 Li 2.42, 4 Co 2.42
Li (0.5000, 0.5000, 0.5000)  4 Tc 2.42, 4 Co 2.42
Tc (0.2500, 0.2500, 0.2500)  4 Li 2.42, 4 Co 2.42

Summary:
Excess energy over the best structure of this formula in the dataset in meV per atom: 142
Total moment in μB/f.u.: 1.770
Formation enthalpy at 0 K in eV/atom: 0.3251



(5)
LiCo2Tc: relaxed, GGA-PBEsol.

a b c (Å): 2.5000 4.3403 4.5132
angles (deg): 103.20 106.08 90.00
Last column: nearest neighbours and their distance in Å.
Fractional coordinates of all 4 atoms:
Co (0.9831, 0.0344, 0.9662)  4 Co 2.38-2.50, 3 Tc 2.45-2.46, 4 Li 2.51-2.53
Co (0.2712, 0.7122, 0.5424)  3 Li 2.37-2.51, 4 Co 2.38-2.50, 4 Tc 2.50-2.56
Li (0.5140, 0.5516, 0.0280)  7 Co 2.37-2.53, 2 Li 2.50
Tc (0.7317, 0.2018, 0.4633)  7 Co 2.45-2.56, 2 Tc 2.50, 1 Li 2.69

Summary:
Excess energy over the best structure of this formula in the dataset in meV per atom: 5
Total moment in μB/f.u.: 0.698
Formation enthalpy at 0 K in eV/atom: 0.1881



(6)
Li3CoTc: relaxed, GGA-PBEsol.

a b c (Å): 4.1307 4.1307 4.1307
angles (deg): 90.00 90.00 90.00
Last column: nearest neighbours and their distance in Å.
Fractional coordinates of all 5 atoms:
Co (0.0000, 0.0000, 0.0000)  6 Li 2.07
Tc (0.5000, 0.5000, 0.5000)  12 Li 2.92
Li (0.0000, 0.5000, 0.0000)  2 Co 2.07
Li (0.0000, 0.0000, 0.5000)  2 Co 2.07
Li (0.5000, 0.0000, 0.0000)  2 Co 2.07

Summary:
Total moment in μB/f.u.: 3.232
Formation enthalpy at 0 K in eV/atom: 1.3229